Run P
Here is a relaxed Th2Ga5Ir3 crystal from Alexandria. Energies are from PBE.

Output
space group: Cmc2_1
magnetic moment: 0.00 Bohr magnetons per cell

Cell: 4.325 6.959 12.755 Å, 90.00 99.76 90.00°
Element x y z (fractional)
Ga  0.295  0.900  0.590
Ga  0.708  0.009  0.417
Ga  0.705  0.400  0.410
Ga  0.397  0.410  0.794
Ga  0.946  0.099  0.892
Ga  0.603  0.910  0.206
Ga  0.292  0.509  0.583
Ga  0.873  0.754  0.746
Ga  0.054  0.599  0.108
Ga  0.127  0.254  0.254
Th  0.479  0.767  0.957
Th  0.824  0.215  0.648
Th  0.521  0.267  0.043
Th  0.176  0.715  0.352
Ir  0.392  0.022  0.785
Ir  0.608  0.522  0.215
Ir  0.229  0.202  0.458
Ir  0.771  0.702  0.542
Ir  0.050  0.985  0.099
Ir  0.950  0.485  0.901

***

Run Q
Here is a relaxed Th2Ga5Ir3 crystal from Alexandria. Energies are from PBE.

Output
space group: Ibam
magnetic moment: 0.00 Bohr magnetons per cell

Cell: 5.823 8.664 8.664 Å, 72.06 70.37 70.37°
Element x y z (fractional)
Th  0.361  0.864  0.414
Th  0.639  0.136  0.586
Th  0.139  0.586  0.136
Th  0.861  0.414  0.864
Ga  0.043  0.207  0.207
Ga  0.250  0.500  0.500
Ga  0.457  0.793  0.793
Ga  0.543  0.207  0.207
Ga  0.750  0.500  0.500
Ga  0.957  0.793  0.793
Ga  0.908  0.927  0.257
Ga  0.092  0.073  0.743
Ga  0.408  0.257  0.927
Ga  0.592  0.743  0.073
Ir  0.649  0.453  0.249
Ir  0.149  0.249  0.453
Ir  0.851  0.751  0.547
Ir  0.750  0.000  0.000
Ir  0.250  0.000  0.000
Ir  0.351  0.547  0.751

***

Relative energies, unit meV per atom: run P 52; run Q 0

***

Run P
Here is a relaxed Ti3Ga2Ir crystal from Alexandria. Energies are from PBE.

Output
space group: C2/c
magnetic moment: 0.00 Bohr magnetons per cell

Cell: 5.384 5.266 7.354 Å, 103.40 111.47 90.00°
Element x y z (fractional)
Ti  0.718  0.923  0.670
Ti  0.640  0.250  0.000
Ti  0.282  0.077  0.330
Ti  0.360  0.750  0.000
Ti  0.048  0.577  0.330
Ti  0.952  0.423  0.670
Ga  0.455  0.463  0.671
Ga  0.784  0.037  0.329
Ga  0.545  0.537  0.329
Ga  0.216  0.963  0.671
Ir  0.864  0.750  0.000
Ir  0.136  0.250  0.000

***

Run Q
Here is a relaxed Ti3Ga2Ir crystal from Alexandria. Energies are from PBE.

Output
space group: P4/mmm
magnetic moment: 0.00 Bohr magnetons per cell

Cell: 3.320 3.320 8.500 Å, 90.00 90.00 90.00°
Element x y z (fractional)
Ti  0.000  0.000  0.336
Ti  0.000  0.000  0.664
Ti  0.000  0.000  0.000
Ir  0.500  0.500  0.500
Ga  0.500  0.500  0.826
Ga  0.500  0.500  0.174

***

Relative energies, unit meV per atom: run P 0; run Q 27